1.
La2Mg2BRh4 | PBE-GGA | relaxed

Computed properties:
The calculation puts the energy of formation from the pure elements at -0.568 eV/atom.

```
La2Mg2BRh4
1.0
-3.499 1.504 4.686
-1.520 -5.057 -2.928
5.670 -1.596 1.329
La Mg B Rh
2 2 1 4
Direct
0.500 0.750 0.250 La
0.500 0.250 0.750 La
0.000 0.689 0.689 Mg
0.000 0.311 0.311 Mg
0.000 0.000 0.000 B
0.000 0.765 0.235 Rh
0.530 0.765 0.765 Rh
0.000 0.235 0.765 Rh
0.470 0.235 0.235 Rh
```

---

2.
LaMg2BRh | PBE-GGA | relaxed

Computed properties:
The calculation puts the energy of formation from the pure elements at 0.498 eV/atom.

```
LaMg2BRh
1.0
4.888 0.000 0.000
0.000 4.888 0.000
0.000 0.000 5.370
Mg B Rh La
2 1 1 1
Direct
0.000 0.500 0.000 Mg
0.500 0.000 0.000 Mg
0.500 0.500 0.500 B
0.000 0.000 0.000 Rh
0.000 0.000 0.500 La
```

---

3.
LaMg2BRu2 | PBE-GGA | relaxed

Computed properties:
The calculation puts the energy of formation from the pure elements at -0.192 eV/atom.

```
LaMg2BRu2
1.0
4.325 0.000 0.000
0.000 4.325 0.000
0.000 0.000 5.845
La Mg B Ru
1 2 1 2
Direct
0.000 0.000 0.500 La
0.500 0.500 0.749 Mg
0.500 0.500 0.251 Mg
0.000 0.000 0.000 B
0.500 0.000 0.000 Ru
0.000 0.500 0.000 Ru
```

---

4.
La2MgBRu | PBE-GGA | relaxed

Computed properties:
The calculation puts the energy of formation from the pure elements at -0.107 eV/atom.

```
La2MgBRu
1.0
5.485 0.000 0.000
0.000 5.485 0.000
0.000 0.000 4.050
Ru Mg B La
1 1 1 2
Direct
0.000 0.000 0.500 Ru
0.500 0.500 0.500 Mg
0.000 0.000 0.000 B
0.000 0.500 0.000 La
0.500 0.000 0.000 La
```

---

| no. | DFT total energy (eV/cell) | total magnetic moment (μB per formula unit) |
| --- | --- | --- |
| 1 | -54.2 | 0.00 |
| 2 | -19.7 | 0.92 |
| 3 | -34.5 | 0.00 |
| 4 | -27.9 | 0.00 |